Density functional theory data (PBE+U) for crystalline Dy2WO6 at its relaxed geometry.

Structure (POSCAR):
```
Dy2WO6
1.0
5.282 0.000 0.000
0.000 9.162 0.000
0.000 0.000 9.997
Dy W O
8 4 24
direct
0.017 0.104 0.465
0.040 0.219 0.871
0.460 0.781 0.371
0.483 0.896 0.965
0.517 0.396 0.535
0.540 0.281 0.129
0.960 0.719 0.629
0.983 0.604 0.035
0.038 0.496 0.348
0.462 0.504 0.848
0.538 0.004 0.652
0.962 0.996 0.152
0.089 0.843 0.031
0.174 0.953 0.299
0.180 0.637 0.819
0.192 0.642 0.236
0.233 0.116 0.068
0.246 0.589 0.495
0.254 0.411 0.995
0.267 0.884 0.568
0.308 0.358 0.736
0.320 0.363 0.319
0.326 0.047 0.799
0.411 0.157 0.531
0.589 0.657 0.969
0.674 0.547 0.701
0.680 0.863 0.181
0.692 0.858 0.764
0.733 0.384 0.932
0.746 0.911 0.505
0.754 0.089 0.005
0.767 0.616 0.432
0.808 0.142 0.264
0.820 0.137 0.681
0.826 0.453 0.201
0.911 0.343 0.469
```

Properties
Space group   P2_12_12_1 (19)
Calculated density   8.30 Mg/m³
Raw total energy   -8.12 eV/atom
DOS at the Fermi energy   0.0 states/eV/cell
Excess energy over the best structure of this formula in the dataset   0.026 eV per formula unit
Total magnetic moment   0.000 μB per atom